# Cs5Na

Crystalline Cs5Na at its relaxed geometry (PBE-GGA, the Alexandria database).

Cell and atoms, written as POSCAR:
```
Cs5Na
1.0
8.410 0.000 0.000
0.000 25.847 0.000
0.000 0.000 5.550
Cs Na
10 2
Cartesian
0.000 0.000 0.000 Cs
0.000 4.738 2.775 Cs
0.000 9.513 0.000 Cs
0.000 16.334 0.000 Cs
0.000 21.109 2.775 Cs
4.205 3.410 0.000 Cs
4.205 8.185 2.775 Cs
4.205 12.924 0.000 Cs
4.205 17.662 2.775 Cs
4.205 22.437 0.000 Cs
0.000 12.924 2.775 Na
4.205 0.000 2.775 Na
```

Summary:
The value obtained for the polymorph energy (0 for the lowest one) is 3.1 meV/atom. For the total magnetic moment, the calculation gives 0.00 μB per cell. For the total energy, the calculation gives -10.925 eV for the cell shown. The formation enthalpy at 0 K comes out at 0.02 eV/atom.